# PbBrCl2 | Alexandria via LeMat-Bulk | GGA-PBE | relaxed
data_PbBrCl2
_chemical_formula_sum 'Pb2 Br2 Cl4'
_symmetry_space_group_name_H-M 'C 1 m 1'
_symmetry_Int_Tables_number 8
_cell_length_a 10.894
_cell_length_b 4.246
_cell_length_c 6.015
_cell_angle_alpha 90.00
_cell_angle_beta 104.71
_cell_angle_gamma 90.00
loop_
_symmetry_equiv_pos_as_xyz
'x,y,z'
'x,-y,z'
'x+1/2,y+1/2,z'
'x+1/2,-y+1/2,z'
loop_
_atom_site_label
_atom_site_fract_x
_atom_site_fract_y
_atom_site_fract_z
_atom_site_occupancy
Pb1 0.000 0.000 0.000 1
Br1 0.265 0.000 0.926 1
Cl1 0.108 0.500 0.305 1
Cl2 0.435 0.000 0.632 1
# Energy above the lowest structure with this stoichiometry ... 81 meV/atom
# Total moment ... 0.251 μB per atom
# E ... -0.2109 Ry/atom